[1]
La2ErI2: optimized geometry, PBE.

Calculated values
E = -3.738 eV/atom

Geometry as CIF:
```
data_La2ErI2
_chemical_formula_sum 'La8 Er4 I8'
_space_group_name_H-M_alt 'F m m m'
_space_group_IT_number 69
_space_group_name_Hall '-F 2 2'
_cell_length_a 7.4945
_cell_length_b 7.5059
_cell_length_c 13.7647
_cell_angle_alpha 90.00
_cell_angle_beta 90.00
_cell_angle_gamma 90.00
loop_
_atom_site_label
_atom_site_type_symbol
_atom_site_fract_x
_atom_site_fract_y
_atom_site_fract_z
La1 La 0.2500 0.2500 0.2500
Er1 Er 0.0000 0.0000 0.0000
I1 I 0.0000 0.0000 0.3779
```

[2]
ErAgSnTe2S: optimized geometry, PBE.

Calculated values
E = -4.374 eV/atom

Geometry as CIF:
```
data_ErAgSnTe2S
_chemical_formula_sum 'Er4 Ag4 Sn4 Te8 S4'
_space_group_name_H-M_alt 'C m c m'
_space_group_IT_number 63
_space_group_name_Hall '-C 2c 2'
_cell_length_a 4.3187
_cell_length_b 14.4409
_cell_length_c 10.3009
_cell_angle_alpha 90.00
_cell_angle_beta 90.00
_cell_angle_gamma 90.00
loop_
_atom_site_label
_atom_site_type_symbol
_atom_site_fract_x
_atom_site_fract_y
_atom_site_fract_z
Er1 Er 0.0000 0.0000 0.0000
Ag1 Ag 0.0000 0.4829 0.2500
Sn1 Sn 0.0000 0.2723 0.7500
Te1 Te 0.0000 0.3504 0.0536
S1 S 0.0000 0.0805 0.2500
```

[3]
ZrW: optimized geometry, PBE.

Calculated values
E_form = 0.239 eV per atom

Geometry as CIF:
```
data_ZrW
_chemical_formula_sum 'Zr8 W8'
_space_group_name_H-M_alt 'P m m n'
_space_group_IT_number 59
_cell_length_a 4.8524
_cell_length_b 11.4273
_cell_length_c 5.6549
_cell_angle_alpha 90.00
_cell_angle_beta 90.00
_cell_angle_gamma 90.00
loop_
_space_group_symop_operation_xyz
'x,y,z'
'-x,-y,-z'
'-x+1/2,-y+1/2,z'
'x+1/2,y+1/2,-z'
'x+1/2,-y,-z'
'-x+1/2,y,z'
'-x,y+1/2,-z'
'x,-y+1/2,z'
loop_
_atom_site_label
_atom_site_type_symbol
_atom_site_fract_x
_atom_site_fract_y
_atom_site_fract_z
Zr1 Zr 0.2500 0.0973 0.0738
Zr2 Zr 0.2500 0.2500 0.5575
Zr3 Zr 0.2500 0.7500 0.7657
W1 W 0.2500 0.5173 0.6157
W2 W 0.2500 0.6372 0.2277
```

[4]
IrPd2W: optimized geometry, PBE.

Calculated values
E_form = 0.099 eV per atom

Geometry as CIF:
```
data_IrPd2W
_chemical_formula_sum 'Ir4 Pd8 W4'
_space_group_name_H-M_alt 'F -4 3 m'
_space_group_IT_number 216
_space_group_name_Hall 'F -4 2 3'
_cell_length_a 6.2556
_cell_length_b 6.2556
_cell_length_c 6.2556
_cell_angle_alpha 90.00
_cell_angle_beta 90.00
_cell_angle_gamma 90.00
loop_
_atom_site_label
_atom_site_type_symbol
_atom_site_fract_x
_atom_site_fract_y
_atom_site_fract_z
Ir1 Ir 0.0000 0.0000 0.0000
Pd1 Pd 0.0000 0.0000 0.5000
Pd2 Pd 0.2500 0.2500 0.2500
W1 W 0.2500 0.2500 0.7500
```

[5]
In2Ni9: optimized geometry, PBE.

Calculated values
E = -4.755 eV/atom

Geometry as CIF:
```
data_In2Ni9
_chemical_formula_sum 'In2 Ni9'
_space_group_name_H-M_alt 'P -3 m 1'
_space_group_IT_number 164
_space_group_name_Hall '-P 3 2"'
_cell_length_a 2.6710
_cell_length_b 2.6710
_cell_length_c 28.0998
_cell_angle_alpha 90.00
_cell_angle_beta 90.00
_cell_angle_gamma 120.00
loop_
_atom_site_label
_atom_site_type_symbol
_atom_site_fract_x
_atom_site_fract_y
_atom_site_fract_z
In1 In 0.3333 0.6667 0.3565
Ni1 Ni 0.0000 0.0000 0.0000
Ni2 Ni 0.0000 0.0000 0.2060
Ni3 Ni 0.3333 0.6667 0.1373
Ni4 Ni 0.3333 0.6667 0.7253
Ni5 Ni 0.3333 0.6667 0.9314
```

[6]
CsTaBr6: optimized geometry, PBE.

Calculated values
E = -4.002 eV/atom

Geometry as CIF:
```
data_CsTaBr6
_chemical_formula_sum 'Cs3 Ta3 Br18'
_space_group_name_H-M_alt 'R -3 m'
_space_group_IT_number 166
_space_group_name_Hall '-R 3 2"'
_cell_length_a 7.3705
_cell_length_b 7.3705
_cell_length_c 20.0365
_cell_angle_alpha 90.00
_cell_angle_beta 90.00
_cell_angle_gamma 120.00
loop_
_atom_site_label
_atom_site_type_symbol
_atom_site_fract_x
_atom_site_fract_y
_atom_site_fract_z
Cs1 Cs 0.0000 0.0000 0.0000
Ta1 Ta 0.0000 0.0000 0.5000
Br1 Br 0.0091 0.5045 0.0938
```

[7]
TbErPO: optimized geometry, PBE.

Calculated values
E = -6.829 eV/atom

Geometry as CIF:
```
data_TbErPO
_chemical_formula_sum 'Tb2 Er2 P2 O2'
_space_group_name_H-M_alt 'P 4/n m m'
_space_group_IT_number 129
_cell_length_a 4.2973
_cell_length_b 4.2973
_cell_length_c 8.5614
_cell_angle_alpha 90.00
_cell_angle_beta 90.00
_cell_angle_gamma 90.00
loop_
_space_group_symop_operation_xyz
'x,y,z'
'-x,-y,-z'
'-y+1/2,x,z'
'y+1/2,-x,-z'
'-x+1/2,-y+1/2,z'
'x+1/2,y+1/2,-z'
'y,-x+1/2,z'
'-y,x+1/2,-z'
'x+1/2,-y,-z'
'-x+1/2,y,z'
'-y,-x,-z'
'y,x,z'
'-x,y+1/2,-z'
'x,-y+1/2,z'
'y+1/2,x+1/2,-z'
'-y+1/2,-x+1/2,z'
loop_
_atom_site_label
_atom_site_type_symbol
_atom_site_fract_x
_atom_site_fract_y
_atom_site_fract_z
Tb1 Tb 0.2500 0.2500 0.1055
Er1 Er 0.2500 0.7500 0.5000
P1 P 0.2500 0.2500 0.6935
O1 O 0.2500 0.7500 0.0000
```

[8]
LiTmGe: optimized geometry, PBE.

Calculated values
E = -4.375 eV/atom

Geometry as CIF:
```
data_LiTmGe
_chemical_formula_sum 'Li3 Tm3 Ge3'
_space_group_name_H-M_alt 'P -6 2 m'
_space_group_IT_number 189
_space_group_name_Hall 'P -6 -2'
_cell_length_a 6.9418
_cell_length_b 6.9418
_cell_length_c 4.2178
_cell_angle_alpha 90.00
_cell_angle_beta 90.00
_cell_angle_gamma 120.00
loop_
_atom_site_label
_atom_site_type_symbol
_atom_site_fract_x
_atom_site_fract_y
_atom_site_fract_z
Li1 Li 0.0000 0.7673 0.0000
Tm1 Tm 0.0000 0.4271 0.5000
Ge1 Ge 0.0000 0.0000 0.5000
Ge2 Ge 0.3333 0.6667 0.0000
```

[9]
Ac3Zn4Au4: optimized geometry, PBE.

Calculated values
E_form = -0.630 eV per atom

Geometry as CIF:
```
data_Ac3Zn4Au4
_chemical_formula_sum 'Ac3 Zn4 Au4'
_space_group_name_H-M_alt 'P -1'
_space_group_IT_number 2
_space_group_name_Hall '-P 1'
_cell_length_a 4.1780
_cell_length_b 4.5533
_cell_length_c 14.3645
_cell_angle_alpha 99.01
_cell_angle_beta 98.35
_cell_angle_gamma 90.09
loop_
_atom_site_label
_atom_site_type_symbol
_atom_site_fract_x
_atom_site_fract_y
_atom_site_fract_z
Ac1 Ac 0.0000 0.0000 0.0000
Ac2 Ac 0.1489 0.6485 0.2986
Zn1 Zn 0.2512 0.2539 0.5047
Zn2 Zn 0.4023 0.9023 0.8030
Au1 Au 0.3080 0.8076 0.6130
Au2 Au 0.4481 0.4485 0.8966
```

[10]
SrHoMgTe3: optimized geometry, PBE.

Calculated values
E = -4.051 eV/atom

Geometry as CIF:
```
data_SrHoMgTe3
_chemical_formula_sum 'Sr4 Ho4 Mg4 Te12'
_space_group_name_H-M_alt 'C m c m'
_space_group_IT_number 63
_space_group_name_Hall '-C 2c 2'
_cell_length_a 4.3936
_cell_length_b 15.2319
_cell_length_c 11.3595
_cell_angle_alpha 90.00
_cell_angle_beta 90.00
_cell_angle_gamma 90.00
loop_
_atom_site_label
_atom_site_type_symbol
_atom_site_fract_x
_atom_site_fract_y
_atom_site_fract_z
Sr1 Sr 0.0000 0.2322 0.2500
Ho1 Ho 0.0000 0.0000 0.0000
Mg1 Mg 0.0000 0.4777 0.7500
Te1 Te 0.0000 0.0947 0.7500
Te2 Te 0.0000 0.3616 0.5589
```

[11]
ZnH30C16S4O2: optimized geometry, PBE.

Calculated values
E = -5.427 eV/atom

Geometry as CIF:
```
data_ZnH30C16S4O2
_chemical_formula_sum 'Zn4 H120 C64 S16 O8'
_space_group_name_H-M_alt 'C 1 c 1'
_space_group_IT_number 9
_space_group_name_Hall 'C -2yc'
_cell_length_a 35.0435
_cell_length_b 5.5388
_cell_length_c 11.0928
_cell_angle_alpha 90.00
_cell_angle_beta 95.98
_cell_angle_gamma 90.00
loop_
_atom_site_label
_atom_site_type_symbol
_atom_site_fract_x
_atom_site_fract_y
_atom_site_fract_z
Zn1 Zn 0.0000 0.0163 0.0000
H1 H 0.0729 0.4726 0.8009
H2 H 0.0880 0.4776 0.5282
H3 H 0.1103 0.3146 0.2804
H4 H 0.1228 0.0739 0.5174
H5 H 0.1251 0.3851 0.9572
H6 H 0.1316 0.3152 0.7061
H7 H 0.1611 0.2288 0.4591
H8 H 0.1693 0.0663 0.1966
H9 H 0.1692 0.4808 0.6508
H10 H 0.1782 0.1746 0.8883
H11 H 0.2069 0.0943 0.6391
H12 H 0.2150 0.3432 0.8309
H13 H 0.2180 0.2087 0.3684
H14 H 0.2414 0.0051 0.9700
H15 H 0.2457 0.4515 0.5656
H16 H 0.2553 0.0266 0.3213
H17 H 0.2568 0.2974 0.1623
H18 H 0.2792 0.4195 0.6962
H19 H 0.2908 0.2654 0.9736
H20 H 0.2970 0.2866 0.4393
H21 H 0.3239 0.2878 0.1035
H22 H 0.3322 0.2710 0.5644
H23 H 0.3381 0.4146 0.8388
H24 H 0.3421 0.1380 0.2974
H25 H 0.3743 0.4470 0.9610
H26 H 0.3792 0.1123 0.4171
H27 H 0.3827 0.4304 0.1911
H28 H 0.3869 0.0205 0.6518
H29 H 0.4198 0.4018 0.3110
H30 H 0.4263 0.0368 0.7678
C1 C 0.0448 0.0670 0.2677
C2 C 0.0901 0.3774 0.3432
C3 C 0.1100 0.4423 0.4663
C4 C 0.1379 0.2488 0.5184
C5 C 0.1551 0.3021 0.6475
C6 C 0.1837 0.1115 0.6988
C7 C 0.2012 0.1638 0.8278
C8 C 0.2305 0.0262 0.3748
C9 C 0.2691 0.4569 0.1218
C10 C 0.3016 0.3894 0.0469
C11 C 0.3198 0.3922 0.4915
C12 C 0.3504 0.4572 0.4089
C13 C 0.3660 0.2377 0.3474
C14 C 0.3955 0.3055 0.2613
C15 C 0.4103 0.0839 0.2016
C16 C 0.4566 0.9998 0.0607
S1 S 0.0116 0.1372 0.8023
S2 S 0.0559 0.1221 0.1254
S3 S 0.4487 0.2984 0.5823
S4 S 0.4890 0.1033 0.9702
O1 O 0.0636 0.1806 0.3625
O2 O 0.4362 0.1640 0.1151
```

[12]
CoNiPd: optimized geometry, PBE.

Calculated values
E_form = 0.440 eV per atom

Geometry as CIF:
```
data_CoNiPd
_chemical_formula_sum 'Co4 Ni4 Pd4'
_space_group_name_H-M_alt 'F -4 3 m'
_space_group_IT_number 216
_space_group_name_Hall 'F -4 2 3'
_cell_length_a 5.5680
_cell_length_b 5.5680
_cell_length_c 5.5680
_cell_angle_alpha 90.00
_cell_angle_beta 90.00
_cell_angle_gamma 90.00
loop_
_atom_site_label
_atom_site_type_symbol
_atom_site_fract_x
_atom_site_fract_y
_atom_site_fract_z
Co1 Co 0.0000 0.0000 0.0000
Ni1 Ni 0.2500 0.2500 0.7500
Pd1 Pd 0.2500 0.2500 0.2500
```